(P)
PBE LuTaB, optimized geometry; ρ = 10.5 g cm⁻³; M_tot = 0.50 μB per formula unit
1.0
6.1436 0.0000 0.0000
0.0000 6.1436 0.0000
0.0000 0.0000 6.1436
Lu Ta B
4 4 4
direct
0.0000 0.0000 0.0000 Lu
0.0000 0.5000 0.5000 Lu
0.5000 0.0000 0.5000 Lu
0.5000 0.5000 0.0000 Lu
0.2500 0.2500 0.7500 Ta
0.2500 0.7500 0.2500 Ta
0.7500 0.2500 0.2500 Ta
0.7500 0.7500 0.7500 Ta
0.0000 0.0000 0.5000 B
0.0000 0.5000 0.0000 B
0.5000 0.0000 0.0000 B
0.5000 0.5000 0.5000 B



(Q)
PBE LuTaB, optimized geometry; ρ = 9.7 g cm⁻³; M_tot = 2.75 μB per formula unit
1.0
6.2986 0.0000 0.0000
0.0000 6.2986 0.0000
0.0000 0.0000 6.2986
Lu Ta B
4 4 4
direct
0.0000 0.0000 0.0000 Lu
0.0000 0.5000 0.5000 Lu
0.5000 0.0000 0.5000 Lu
0.5000 0.5000 0.0000 Lu
0.2500 0.2500 0.2500 Ta
0.2500 0.7500 0.7500 Ta
0.7500 0.2500 0.7500 Ta
0.7500 0.7500 0.2500 Ta
0.2500 0.2500 0.7500 B
0.2500 0.7500 0.2500 B
0.7500 0.2500 0.2500 B
0.7500 0.7500 0.7500 B



The structure with the least stability is (Q).



(P)
PBE Lu2ZnB, optimized geometry; ρ = 8.5 g cm⁻³; M_tot = 0.26 μB per formula unit
1.0
3.5006 0.0000 0.0000
-1.7503 3.0316 0.0000
0.0000 0.0000 15.6259
Lu Zn B
4 2 2
direct
0.3333 0.6667 0.0989 Lu
0.3333 0.6667 0.4011 Lu
0.6667 0.3333 0.5989 Lu
0.6667 0.3333 0.9011 Lu
0.3333 0.6667 0.7500 Zn
0.6667 0.3333 0.2500 Zn
0.0000 0.0000 0.0000 B
0.0000 0.0000 0.5000 B



(Q)
PBE Lu2ZnB, optimized geometry; ρ = 9.3 g cm⁻³; M_tot = 0.00 μB per formula unit
1.0
6.7289 0.0000 0.0000
0.0000 6.7289 0.0000
0.0000 0.0000 6.7289
Lu Zn B
8 4 4
direct
0.0000 0.0000 0.0000 Lu
0.0000 0.5000 0.5000 Lu
0.2500 0.2500 0.2500 Lu
0.2500 0.7500 0.7500 Lu
0.5000 0.0000 0.5000 Lu
0.5000 0.5000 0.0000 Lu
0.7500 0.2500 0.7500 Lu
0.7500 0.7500 0.2500 Lu
0.2500 0.2500 0.7500 Zn
0.2500 0.7500 0.2500 Zn
0.7500 0.2500 0.2500 Zn
0.7500 0.7500 0.7500 Zn
0.0000 0.0000 0.5000 B
0.0000 0.5000 0.0000 B
0.5000 0.0000 0.0000 B
0.5000 0.5000 0.5000 B



The structure with the least stability is (Q).



(P)
PBE LuZnB, optimized geometry; ρ = 8.7 g cm⁻³; M_tot = 0.00 μB per formula unit
1.0
5.7614 0.0000 0.0000
0.0000 5.7614 0.0000
0.0000 0.0000 5.7614
Lu Zn B
4 4 4
direct
0.0000 0.0000 0.0000 Lu
0.0000 0.5000 0.5000 Lu
0.5000 0.0000 0.5000 Lu
0.5000 0.5000 0.0000 Lu
0.0000 0.0000 0.5000 Zn
0.0000 0.5000 0.0000 Zn
0.5000 0.0000 0.0000 Zn
0.5000 0.5000 0.5000 Zn
0.2500 0.2500 0.2500 B
0.2500 0.7500 0.7500 B
0.7500 0.2500 0.7500 B
0.7500 0.7500 0.2500 B



(Q)
PBE LuZnB, optimized geometry; ρ = 7.4 g cm⁻³; M_tot = 0.00 μB per formula unit
1.0
6.0933 0.0000 0.0000
0.0000 6.0933 0.0000
0.0000 0.0000 6.0933
Lu Zn B
4 4 4
direct
0.0000 0.0000 0.0000 Lu
0.0000 0.5000 0.5000 Lu
0.5000 0.0000 0.5000 Lu
0.5000 0.5000 0.0000 Lu
0.2500 0.2500 0.2500 Zn
0.2500 0.7500 0.7500 Zn
0.7500 0.2500 0.7500 Zn
0.7500 0.7500 0.2500 Zn
0.2500 0.2500 0.7500 B
0.2500 0.7500 0.2500 B
0.7500 0.2500 0.2500 B
0.7500 0.7500 0.7500 B



The structure with the least stability is (Q).



(P)
PBE MgBMo, optimized geometry; ρ = 5.4 g cm⁻³; M_tot = 1.00 μB per formula unit
1.0
5.4580 0.0000 0.0000
0.0000 5.4580 0.0000
0.0000 0.0000 5.4580
Mg B Mo
4 4 4
direct
0.0000 0.0000 0.0000 Mg
0.0000 0.5000 0.5000 Mg
0.5000 0.0000 0.5000 Mg
0.5000 0.5000 0.0000 Mg
0.2500 0.2500 0.2500 B
0.2500 0.7500 0.7500 B
0.7500 0.2500 0.7500 B
0.7500 0.7500 0.2500 B
0.0000 0.0000 0.5000 Mo
0.0000 0.5000 0.0000 Mo
0.5000 0.0000 0.0000 Mo
0.5000 0.5000 0.5000 Mo



(Q)
PBE MgBMo, optimized geometry; ρ = 5.9 g cm⁻³; M_tot = 0.01 μB per formula unit
1.0
6.1557 0.0000 0.0000
-3.0779 5.3310 0.0000
0.0000 0.0000 3.3609
Mg B Mo
3 3 3
direct
0.0000 0.2594 0.0000 Mg
0.2594 0.0000 0.0000 Mg
0.7406 0.7406 0.0000 Mg
0.0000 0.0000 0.5000 B
0.3333 0.6667 0.0000 B
0.6667 0.3333 0.0000 B
0.0000 0.5983 0.5000 Mo
0.4017 0.4017 0.5000 Mo
0.5983 0.0000 0.5000 Mo



The structure with the least stability is (P).



(P)
PBE MgReBMo, optimized geometry; ρ = 9.9 g cm⁻³; M_tot = 0.00 μB per formula unit
1.0
5.9673 0.0000 0.0000
0.0000 5.9673 0.0000
0.0000 0.0000 5.9673
Mg Re B Mo
4 4 4 4
direct
0.0000 0.0000 0.0000 Mg
0.0000 0.5000 0.5000 Mg
0.5000 0.0000 0.5000 Mg
0.5000 0.5000 0.0000 Mg
0.0000 0.0000 0.5000 Re
0.0000 0.5000 0.0000 Re
0.5000 0.0000 0.0000 Re
0.5000 0.5000 0.5000 Re
0.2500 0.2500 0.2500 B
0.2500 0.7500 0.7500 B
0.7500 0.2500 0.7500 B
0.7500 0.7500 0.2500 B
0.2500 0.2500 0.7500 Mo
0.2500 0.7500 0.2500 Mo
0.7500 0.2500 0.2500 Mo
0.7500 0.7500 0.7500 Mo



(Q)
PBE MgReBMo, optimized geometry; ρ = 10.1 g cm⁻³; M_tot = 0.06 μB per formula unit
1.0
5.9398 0.0000 0.0000
0.0000 5.9398 0.0000
0.0000 0.0000 5.9398
Mg Re B Mo
4 4 4 4
direct
0.0000 0.0000 0.0000 Mg
0.0000 0.5000 0.5000 Mg
0.5000 0.0000 0.5000 Mg
0.5000 0.5000 0.0000 Mg
0.2500 0.2500 0.2500 Re
0.2500 0.7500 0.7500 Re
0.7500 0.2500 0.7500 Re
0.7500 0.7500 0.2500 Re
0.0000 0.0000 0.5000 B
0.0000 0.5000 0.0000 B
0.5000 0.0000 0.0000 B
0.5000 0.5000 0.5000 B
0.2500 0.2500 0.7500 Mo
0.2500 0.7500 0.2500 Mo
0.7500 0.2500 0.2500 Mo
0.7500 0.7500 0.7500 Mo



The structure with the least stability is (Q).



(P)
PBE MgNbNiB, optimized geometry; ρ = 6.1 g cm⁻³; M_tot = 0.03 μB per formula unit
1.0
5.8818 0.0000 0.0000
0.0000 5.8818 0.0000
0.0000 0.0000 5.8818
Mg Nb Ni B
4 4 4 4
direct
0.0000 0.0000 0.0000 Mg
0.0000 0.5000 0.5000 Mg
0.5000 0.0000 0.5000 Mg
0.5000 0.5000 0.0000 Mg
0.2500 0.2500 0.2500 Nb
0.2500 0.7500 0.7500 Nb
0.7500 0.2500 0.7500 Nb
0.7500 0.7500 0.2500 Nb
0.2500 0.2500 0.7500 Ni
0.2500 0.7500 0.2500 Ni
0.7500 0.2500 0.2500 Ni
0.7500 0.7500 0.7500 Ni
0.0000 0.0000 0.5000 B
0.0000 0.5000 0.0000 B
0.5000 0.0000 0.0000 B
0.5000 0.5000 0.5000 B



(Q)
PBE MgNbNiB, optimized geometry; ρ = 6.0 g cm⁻³; M_tot = 0.00 μB per formula unit
1.0
5.9190 0.0000 0.0000
0.0000 5.9190 0.0000
0.0000 0.0000 5.9190
Mg Nb Ni B
4 4 4 4
direct
0.0000 0.0000 0.0000 Mg
0.0000 0.5000 0.5000 Mg
0.5000 0.0000 0.5000 Mg
0.5000 0.5000 0.0000 Mg
0.0000 0.0000 0.5000 Nb
0.0000 0.5000 0.0000 Nb
0.5000 0.0000 0.0000 Nb
0.5000 0.5000 0.5000 Nb
0.2500 0.2500 0.7500 Ni
0.2500 0.7500 0.2500 Ni
0.7500 0.2500 0.2500 Ni
0.7500 0.7500 0.7500 Ni
0.2500 0.2500 0.2500 B
0.2500 0.7500 0.7500 B
0.7500 0.2500 0.7500 B
0.7500 0.7500 0.2500 B



(R)
PBE MgNbNiB, optimized geometry; ρ = 6.0 g cm⁻³; M_tot = 0.01 μB per formula unit
1.0
5.9255 0.0000 0.0000
0.0000 5.9255 0.0000
0.0000 0.0000 5.9255
Mg Nb Ni B
4 4 4 4
direct
0.0000 0.0000 0.0000 Mg
0.0000 0.5000 0.5000 Mg
0.5000 0.0000 0.5000 Mg
0.5000 0.5000 0.0000 Mg
0.2500 0.2500 0.7500 Nb
0.2500 0.7500 0.2500 Nb
0.7500 0.2500 0.2500 Nb
0.7500 0.7500 0.7500 Nb
0.0000 0.0000 0.5000 Ni
0.0000 0.5000 0.0000 Ni
0.5000 0.0000 0.0000 Ni
0.5000 0.5000 0.5000 Ni
0.2500 0.2500 0.2500 B
0.2500 0.7500 0.7500 B
0.7500 0.2500 0.7500 B
0.7500 0.7500 0.2500 B



The structure with the least stability is (R).



(P)
PBE NdMgB4, optimized geometry; ρ = 5.2 g cm⁻³; M_tot = 0.00 μB per formula unit
1.0
3.1921 0.0000 0.0000
-1.5960 2.7644 0.0000
0.0000 0.0000 7.6781
Nd Mg B
1 1 4
direct
0.0000 0.0000 0.0000 Nd
0.0000 0.0000 0.5000 Mg
0.3333 0.6667 0.2761 B
0.3333 0.6667 0.7239 B
0.6667 0.3333 0.2761 B
0.6667 0.3333 0.7239 B



(Q)
PBE NdMgB4, optimized geometry; ρ = 4.9 g cm⁻³; M_tot = 0.00 μB per formula unit
1.0
3.2036 0.0000 0.0000
0.0000 5.5001 0.0000
0.0000 0.0000 8.0911
Nd Mg B
2 2 8
direct
0.0000 0.0000 0.0000 Nd
0.5000 0.5000 0.5000 Nd
0.0000 0.0000 0.5000 Mg
0.5000 0.5000 0.0000 Mg
0.0000 0.3282 0.2524 B
0.0000 0.3282 0.7476 B
0.0000 0.6718 0.2524 B
0.0000 0.6718 0.7476 B
0.5000 0.1718 0.2476 B
0.5000 0.1718 0.7524 B
0.5000 0.8282 0.2476 B
0.5000 0.8282 0.7524 B



The structure with the least stability is (Q).



(P)
PBE MgNiB4, optimized geometry; ρ = 4.0 g cm⁻³; M_tot = 0.02 μB per formula unit
1.0
2.9949 0.0000 0.0000
0.0000 5.2090 0.0000
0.0000 0.0000 6.6571
Mg Ni B
2 2 8
direct
0.0000 0.0000 0.0000 Mg
0.5000 0.5000 0.5000 Mg
0.0000 0.0000 0.5000 Ni
0.5000 0.5000 0.0000 Ni
0.0000 0.3347 0.2521 B
0.0000 0.3347 0.7479 B
0.0000 0.6653 0.2521 B
0.0000 0.6653 0.7479 B
0.5000 0.1653 0.2479 B
0.5000 0.1653 0.7521 B
0.5000 0.8347 0.2479 B
0.5000 0.8347 0.7521 B



(Q)
PBE MgNiB4, optimized geometry; ρ = 4.1 g cm⁻³; M_tot = 0.03 μB per formula unit
1.0
3.0259 0.0000 0.0000
-1.5129 2.6205 0.0000
0.0000 0.0000 6.4956
Mg Ni B
1 1 4
direct
0.0000 0.0000 0.0000 Mg
0.0000 0.0000 0.5000 Ni
0.3333 0.6667 0.2708 B
0.3333 0.6667 0.7292 B
0.6667 0.3333 0.2708 B
0.6667 0.3333 0.7292 B



(R)
PBE MgNiB4, optimized geometry; ρ = 4.0 g cm⁻³; M_tot = 0.00 μB per formula unit
1.0
5.8125 0.0000 0.0000
0.0000 11.1573 0.0000
0.0000 0.0000 3.2181
Mg Ni B
4 4 16
direct
0.1271 0.1510 0.0000 Mg
0.3729 0.6510 0.0000 Mg
0.6271 0.3490 0.0000 Mg
0.8729 0.8490 0.0000 Mg
0.1392 0.4104 0.0000 Ni
0.3608 0.9104 0.0000 Ni
0.6392 0.0896 0.0000 Ni
0.8608 0.5896 0.0000 Ni
0.0130 0.6954 0.5000 B
0.1143 0.5508 0.5000 B
0.1368 0.9712 0.5000 B
0.2077 0.8143 0.5000 B
0.2923 0.3143 0.5000 B
0.3632 0.4712 0.5000 B
0.3857 0.0508 0.5000 B
0.4870 0.1954 0.5000 B
0.5130 0.8046 0.5000 B
0.6143 0.9492 0.5000 B
0.6368 0.5288 0.5000 B
0.7077 0.6857 0.5000 B
0.7923 0.1857 0.5000 B
0.8632 0.0288 0.5000 B
0.8857 0.4492 0.5000 B
0.9870 0.3046 0.5000 B



The structure with the least stability is (P).



(P)
PBE MgNiBPd, optimized geometry; ρ = 7.1 g cm⁻³; M_tot = 0.01 μB per formula unit
1.0
5.7336 0.0000 0.0000
0.0000 5.7336 0.0000
0.0000 0.0000 5.7336
Mg Ni B Pd
4 4 4 4
direct
0.0000 0.0000 0.0000 Mg
0.0000 0.5000 0.5000 Mg
0.5000 0.0000 0.5000 Mg
0.5000 0.5000 0.0000 Mg
0.2500 0.2500 0.7500 Ni
0.2500 0.7500 0.2500 Ni
0.7500 0.2500 0.2500 Ni
0.7500 0.7500 0.7500 Ni
0.0000 0.0000 0.5000 B
0.0000 0.5000 0.0000 B
0.5000 0.0000 0.0000 B
0.5000 0.5000 0.5000 B
0.2500 0.2500 0.2500 Pd
0.2500 0.7500 0.7500 Pd
0.7500 0.2500 0.7500 Pd
0.7500 0.7500 0.2500 Pd



(Q)
PBE MgNiBPd, optimized geometry; ρ = 6.8 g cm⁻³; M_tot = 0.02 μB per formula unit
1.0
5.7923 0.0000 0.0000
0.0000 5.7923 0.0000
0.0000 0.0000 5.7923
Mg Ni B Pd
4 4 4 4
direct
0.0000 0.0000 0.0000 Mg
0.0000 0.5000 0.5000 Mg
0.5000 0.0000 0.5000 Mg
0.5000 0.5000 0.0000 Mg
0.2500 0.2500 0.7500 Ni
0.2500 0.7500 0.2500 Ni
0.7500 0.2500 0.2500 Ni
0.7500 0.7500 0.7500 Ni
0.2500 0.2500 0.2500 B
0.2500 0.7500 0.7500 B
0.7500 0.2500 0.7500 B
0.7500 0.7500 0.2500 B
0.0000 0.0000 0.5000 Pd
0.0000 0.5000 0.0000 Pd
0.5000 0.0000 0.0000 Pd
0.5000 0.5000 0.5000 Pd



The structure with the least stability is (Q).



(P)
PBE MgNiBPt, optimized geometry; ρ = 10.0 g cm⁻³; M_tot = 0.00 μB per formula unit
1.0
5.7592 0.0000 0.0000
0.0000 5.7592 0.0000
0.0000 0.0000 5.7592
Mg Ni B Pt
4 4 4 4
direct
0.0000 0.0000 0.0000 Mg
0.0000 0.5000 0.5000 Mg
0.5000 0.0000 0.5000 Mg
0.5000 0.5000 0.0000 Mg
0.2500 0.2500 0.7500 Ni
0.2500 0.7500 0.2500 Ni
0.7500 0.2500 0.2500 Ni
0.7500 0.7500 0.7500 Ni
0.0000 0.0000 0.5000 B
0.0000 0.5000 0.0000 B
0.5000 0.0000 0.0000 B
0.5000 0.5000 0.5000 B
0.2500 0.2500 0.2500 Pt
0.2500 0.7500 0.7500 Pt
0.7500 0.2500 0.7500 Pt
0.7500 0.7500 0.2500 Pt



(Q)
PBE MgNiBPt, optimized geometry; ρ = 9.8 g cm⁻³; M_tot = 0.00 μB per formula unit
1.0
5.8135 0.0000 0.0000
0.0000 5.8135 0.0000
0.0000 0.0000 5.8135
Mg Ni B Pt
4 4 4 4
direct
0.0000 0.0000 0.0000 Mg
0.0000 0.5000 0.5000 Mg
0.5000 0.0000 0.5000 Mg
0.5000 0.5000 0.0000 Mg
0.2500 0.2500 0.7500 Ni
0.2500 0.7500 0.2500 Ni
0.7500 0.2500 0.2500 Ni
0.7500 0.7500 0.7500 Ni
0.2500 0.2500 0.2500 B
0.2500 0.7500 0.7500 B
0.7500 0.2500 0.7500 B
0.7500 0.7500 0.2500 B
0.0000 0.0000 0.5000 Pt
0.0000 0.5000 0.0000 Pt
0.5000 0.0000 0.0000 Pt
0.5000 0.5000 0.5000 Pt



The structure with the least stability is (Q).



(P)
PBE MgTcNiB, optimized geometry; ρ = 6.7 g cm⁻³; M_tot = 0.96 μB per formula unit
1.0
5.7397 0.0000 0.0000
0.0000 5.7397 0.0000
0.0000 0.0000 5.7397
Mg Tc Ni B
4 4 4 4
direct
0.0000 0.0000 0.0000 Mg
0.0000 0.5000 0.5000 Mg
0.5000 0.0000 0.5000 Mg
0.5000 0.5000 0.0000 Mg
0.0000 0.0000 0.5000 Tc
0.0000 0.5000 0.0000 Tc
0.5000 0.0000 0.0000 Tc
0.5000 0.5000 0.5000 Tc
0.2500 0.2500 0.7500 Ni
0.2500 0.7500 0.2500 Ni
0.7500 0.2500 0.2500 Ni
0.7500 0.7500 0.7500 Ni
0.2500 0.2500 0.2500 B
0.2500 0.7500 0.7500 B
0.7500 0.2500 0.7500 B
0.7500 0.7500 0.2500 B



(Q)
PBE MgTcNiB, optimized geometry; ρ = 6.9 g cm⁻³; M_tot = 0.30 μB per formula unit
1.0
5.6937 0.0000 0.0000
0.0000 5.6937 0.0000
0.0000 0.0000 5.6937
Mg Tc Ni B
4 4 4 4
direct
0.0000 0.0000 0.0000 Mg
0.0000 0.5000 0.5000 Mg
0.5000 0.0000 0.5000 Mg
0.5000 0.5000 0.0000 Mg
0.2500 0.2500 0.2500 Tc
0.2500 0.7500 0.7500 Tc
0.7500 0.2500 0.7500 Tc
0.7500 0.7500 0.2500 Tc
0.2500 0.2500 0.7500 Ni
0.2500 0.7500 0.2500 Ni
0.7500 0.2500 0.2500 Ni
0.7500 0.7500 0.7500 Ni
0.0000 0.0000 0.5000 B
0.0000 0.5000 0.0000 B
0.5000 0.0000 0.0000 B
0.5000 0.5000 0.5000 B



The structure with the least stability is (Q).



(P)
PBE MgTlNiB, optimized geometry; ρ = 8.1 g cm⁻³; M_tot = 0.00 μB per formula unit
1.0
6.2523 0.0000 0.0000
0.0000 6.2523 0.0000
0.0000 0.0000 6.2523
Mg Tl Ni B
4 4 4 4
direct
0.0000 0.0000 0.0000 Mg
0.0000 0.5000 0.5000 Mg
0.5000 0.0000 0.5000 Mg
0.5000 0.5000 0.0000 Mg
0.0000 0.0000 0.5000 Tl
0.0000 0.5000 0.0000 Tl
0.5000 0.0000 0.0000 Tl
0.5000 0.5000 0.5000 Tl
0.2500 0.2500 0.2500 Ni
0.2500 0.7500 0.7500 Ni
0.7500 0.2500 0.7500 Ni
0.7500 0.7500 0.2500 Ni
0.2500 0.2500 0.7500 B
0.2500 0.7500 0.2500 B
0.7500 0.2500 0.2500 B
0.7500 0.7500 0.7500 B



(Q)
PBE MgTlNiB, optimized geometry; ρ = 8.2 g cm⁻³; M_tot = 0.01 μB per formula unit
1.0
6.2214 0.0000 0.0000
0.0000 6.2214 0.0000
0.0000 0.0000 6.2214
Mg Tl Ni B
4 4 4 4
direct
0.0000 0.0000 0.0000 Mg
0.0000 0.5000 0.5000 Mg
0.5000 0.0000 0.5000 Mg
0.5000 0.5000 0.0000 Mg
0.2500 0.2500 0.7500 Tl
0.2500 0.7500 0.2500 Tl
0.7500 0.2500 0.2500 Tl
0.7500 0.7500 0.7500 Tl
0.0000 0.0000 0.5000 Ni
0.0000 0.5000 0.0000 Ni
0.5000 0.0000 0.0000 Ni
0.5000 0.5000 0.5000 Ni
0.2500 0.2500 0.2500 B
0.2500 0.7500 0.7500 B
0.7500 0.2500 0.7500 B
0.7500 0.7500 0.2500 B



The structure with the least stability is (Q).



(P)
PBE MgNiBW, optimized geometry; ρ = 9.0 g cm⁻³; M_tot = 2.09 μB per formula unit
1.0
5.8922 0.0000 0.0000
0.0000 5.8922 0.0000
0.0000 0.0000 5.8922
Mg Ni B W
4 4 4 4
direct
0.0000 0.0000 0.0000 Mg
0.0000 0.5000 0.5000 Mg
0.5000 0.0000 0.5000 Mg
0.5000 0.5000 0.0000 Mg
0.0000 0.0000 0.5000 Ni
0.0000 0.5000 0.0000 Ni
0.5000 0.0000 0.0000 Ni
0.5000 0.5000 0.5000 Ni
0.2500 0.2500 0.2500 B
0.2500 0.7500 0.7500 B
0.7500 0.2500 0.7500 B
0.7500 0.7500 0.2500 B
0.2500 0.2500 0.7500 W
0.2500 0.7500 0.2500 W
0.7500 0.2500 0.2500 W
0.7500 0.7500 0.7500 W



(Q)
PBE MgNiBW, optimized geometry; ρ = 9.4 g cm⁻³; M_tot = 0.01 μB per formula unit
1.0
5.8169 0.0000 0.0000
0.0000 5.8169 0.0000
0.0000 0.0000 5.8169
Mg Ni B W
4 4 4 4
direct
0.0000 0.0000 0.0000 Mg
0.0000 0.5000 0.5000 Mg
0.5000 0.0000 0.5000 Mg
0.5000 0.5000 0.0000 Mg
0.2500 0.2500 0.7500 Ni
0.2500 0.7500 0.2500 Ni
0.7500 0.2500 0.2500 Ni
0.7500 0.7500 0.7500 Ni
0.2500 0.2500 0.2500 B
0.2500 0.7500 0.7500 B
0.7500 0.2500 0.7500 B
0.7500 0.7500 0.2500 B
0.0000 0.0000 0.5000 W
0.0000 0.5000 0.0000 W
0.5000 0.0000 0.0000 W
0.5000 0.5000 0.5000 W



The structure with the least stability is (P).